This record from Alexandria describes a geometry-optimized NiSbPtAu structure. The functional is GGA-PBE.

As for the calculated volume: 269 Å³/cell. The calculation puts the uncorrected formation energy at -33 meV/atom.

```
data_NiSbPtAu
_cell_length_a 6.457
_cell_length_b 6.457
_cell_length_c 6.457
_cell_angle_alpha 90.00
_cell_angle_beta 90.00
_cell_angle_gamma 90.00
_space_group_name_H-M_alt 'F -4 3 m'
_space_group_IT_number 216
_space_group_name_Hall 'F -4 2 3'
loop_
_atom_site_label
_atom_site_type_symbol
_atom_site_fract_x
_atom_site_fract_y
_atom_site_fract_z
Ni1 Ni 0.000 0.000 0.000
Sb1 Sb 0.250 0.250 0.250
Pt1 Pt 0.000 0.000 0.500
Au1 Au 0.250 0.250 0.750
```

---

This record from Alexandria describes a geometry-optimized TiV2Ru structure. The functional is GGA-PBE.

As for the calculated volume: 246 Å³/cell. As for the formation enthalpy at 0 K: 0.266 eV per atom.

```
data_TiV2Ru
_cell_length_a 6.913
_cell_length_b 6.913
_cell_length_c 5.156
_cell_angle_alpha 90.00
_cell_angle_beta 90.00
_cell_angle_gamma 90.00
_space_group_name_H-M_alt 'I -4 2 d'
_space_group_IT_number 122
_space_group_name_Hall 'I -4 2bw'
loop_
_atom_site_label
_atom_site_type_symbol
_atom_site_fract_x
_atom_site_fract_y
_atom_site_fract_z
Ti1 Ti 0.000 0.000 0.000
V1 V 0.223 0.750 0.625
Ru1 Ru 0.000 0.000 0.500
```

---

| no. | DOS at the Fermi energy (states/eV per cell) |
| --- | --- |
| 1 | 11.9 |
| 2 | 18.6 |